K3Rb3Ag2O PBE-GGA optimized geometry; V = 376.1 Å³/f.u.; crystal system = hexagonal; final energy = -18.906 eV/cell; theoretical density = 2.67 g cm⁻³; magnetization = 0.00 μB/atom
1.0
10.3547 0.0000 0.0000
-5.1773 8.9674 0.0000
0.0000 0.0000 4.0509
K Rb Ag O
3 3 2 1
Cartesian
-0.9432 1.6337 0.0000
1.8864 0.0000 0.0000
4.2341 7.3337 0.0000
-2.8892 5.0042 2.0254
2.2881 3.9632 2.0254
5.7784 0.0000 2.0254
0.0000 5.9783 0.0000
5.1773 2.9891 0.0000
0.0000 0.0000 2.0254

=====

GaFe3Sb PBE-GGA optimized geometry; excess energy over the best structure of this formula in the dataset = 1.78 eV/f.u.; V = 110.2 Å³/f.u.; crystal system = cubic; theoretical density = 5.41 g cm⁻³; magnetization = 1.63 μB/atom
1.0
4.7947 0.0000 0.0000
0.0000 4.7947 0.0000
0.0000 0.0000 4.7947
Ga Fe Sb
1 3 1
Cartesian
0.0000 0.0000 0.0000
0.0000 2.3973 2.3973
2.3973 0.0000 2.3973
2.3973 2.3973 0.0000
2.3973 2.3973 2.3973

=====

Ac2USiRh6 PBE-GGA optimized geometry; V = 213.3 Å³/f.u.; crystal system = triclinic; final energy = -75.430 eV/cell; theoretical density = 10.41 g cm⁻³; magnetization = 0.00 μB/atom
1.0
6.6876 0.0000 0.0000
3.3418 5.7997 0.0000
0.0250 3.8395 5.4984
Ac U Si Rh
2 1 1 6
Cartesian
1.2308 1.2195 1.1858
8.8236 8.4197 4.3126
1.6834 4.8196 2.7492
5.0147 2.8999 0.0000
5.6628 8.6450 4.1692
3.7220 5.2472 4.1537
3.7124 3.6294 1.8886
6.3420 6.0098 3.6097
6.3324 4.3920 1.3446
4.3916 0.9942 1.3292

=====

In2BrCl2 PBE-GGA optimized geometry; excess energy over the best structure of this formula in the dataset = 0.63 eV/f.u.; V = 138.7 Å³/f.u.; crystal system = tetragonal; theoretical density = 4.56 g cm⁻³; magnetization = 0.00 μB/atom
1.0
-2.3481 2.3481 6.2882
2.3481 -2.3481 6.2882
2.3481 2.3481 -6.2882
In Br Cl
2 1 2
Cartesian
0.0000 0.0000 1.4922
0.0000 0.0000 11.0842
0.0000 0.0000 6.2882
2.3481 0.0000 3.1441
0.0000 2.3481 3.1441

=====

ReSiBr2 PBE-GGA optimized geometry; excess energy over the best structure of this formula in the dataset = 4.06 eV/f.u.; V = 80.0 Å³/f.u.; crystal system = orthorhombic; theoretical density = 7.77 g cm⁻³; magnetization = 0.59 μB/atom
1.0
3.1061 0.0000 0.0000
0.0000 4.5593 0.0000
0.0000 0.0000 5.6469
Re Si Br
1 1 2
Cartesian
0.0000 0.0000 0.0000
1.5531 0.0000 2.8234
0.0000 2.2796 2.8234
1.5531 2.2796 0.0000

=====

HfMnTc2C PBE-GGA optimized geometry; V = 67.9 Å³/f.u.; crystal system = tetragonal; final energy = -50.297 eV/cell; theoretical density = 10.80 g cm⁻³; magnetization = 0.47 μB/atom
1.0
4.1995 0.0000 0.0000
0.0000 4.1995 0.0000
0.0000 0.0000 3.8488
Hf Mn Tc C
1 1 2 1
Cartesian
0.0000 0.0000 0.0000
2.0997 2.0997 0.0000
0.0000 2.0997 1.9244
2.0997 0.0000 1.9244
2.0997 2.0997 1.9244